[1]
CsAg2AuCl8: optimized geometry, PBE-GGA.

Values from the calculation:
- Formation energy from raw total energies: -0.5778 eV/atom
- Total DFT energy (no corrections): -0.0966 Ha/atom
- Volume: 457 Å³/f.u.

Lattice parameters (Å, degrees): 8.3958 7.8659 7.5501 87.31 76.39 70.59
Last column: magnetic moment on the atom in μB.
Positions (direct):
Cs1 0.0000 0.0000 0.5000  0.00
Ag1 0.4750 0.5159 0.7579  0.26
Ag2 0.5250 0.4841 0.2421  0.26
Au1 0.0000 0.0000 0.0000  0.00
Cl1 0.7883 0.9145 0.2037  0.01
Cl2 0.5247 0.6973 0.9883  0.22
Cl3 0.9120 0.2810 0.1469  0.00
Cl4 0.2117 0.0855 0.7963  0.01
Cl5 0.4753 0.3027 0.0117  0.22
Cl6 0.0880 0.7190 0.8531  0.00
Cl7 0.5187 0.6984 0.4796  0.20
Cl8 0.4813 0.3016 0.5204  0.20


[2]
CuAgAu2Cl8: optimized geometry, PBE-GGA.

Values from the calculation:
- Formation energy from raw total energies: -0.1354 eV/atom
- Total DFT energy (no corrections): -0.0916 Ha/atom
- Volume: 296 Å³/f.u.

Lattice parameters (Å, degrees): 7.3290 7.3290 7.3290 114.77 114.77 99.33
Positions (direct):
Cu1 0.2500 0.7500 0.5000
Ag1 0.0000 0.0000 0.0000
Au1 0.7500 0.2500 0.5000
Au2 0.5000 0.5000 0.0000
Cl1 0.3562 0.0516 0.3046
Cl2 0.3039 0.5176 0.2137
Cl3 0.3039 0.0902 0.7863
Cl4 0.7470 0.0516 0.6954
Cl5 0.9098 0.6961 0.2137
Cl6 0.9484 0.2530 0.3046
Cl7 0.9484 0.6438 0.6954
Cl8 0.4824 0.6961 0.7863


[3]
CuAg2AuCl: optimized geometry, PBE-GGA.

Values from the calculation:
- Formation energy from raw total energies: 0.5570 eV/atom
- Total DFT energy (no corrections): -0.0892 Ha/atom
- Volume: 112 Å³/f.u.

Lattice parameters (Å, degrees): 5.0945 4.3219 5.0945 90.00 90.00 90.00
Positions (direct):
Au1 0.5000 0.5000 0.5000
Cu1 0.0000 0.5000 0.0000
Ag1 0.0000 0.0000 0.5000
Ag2 0.5000 0.0000 0.0000
Cl1 0.0000 0.0000 0.0000


[4]
HfAgAu2Cl: optimized geometry, PBE-GGA.

Values from the calculation:
- Formation energy from raw total energies: 0.7379 eV/atom
- Total DFT energy (no corrections): -0.1287 Ha/atom
- Volume: 151 Å³/f.u.

Lattice parameters (Å, degrees): 5.2274 5.5252 5.2274 90.00 90.00 90.00
Positions (direct):
Hf1 0.0000 0.0000 0.0000
Au1 0.0000 0.0000 0.5000
Au2 0.5000 0.0000 0.0000
Ag1 0.0000 0.5000 0.0000
Cl1 0.5000 0.5000 0.5000


[5]
K3AgAu2Cl9: optimized geometry, PBE-GGA.

Values from the calculation:
- Formation energy from raw total energies: -0.9661 eV/atom
- Total DFT energy (no corrections): -0.1073 Ha/atom
- Volume: 405 Å³/f.u.

Lattice parameters (Å, degrees): 7.2532 7.2532 8.8909 90.00 90.00 120.00
Positions (direct):
K1 0.3333 0.6667 0.6532
K2 0.0000 0.0000 0.0000
K3 0.6667 0.3333 0.3468
Ag1 0.0000 0.0000 0.5000
Au1 0.3333 0.6667 0.1640
Au2 0.6667 0.3333 0.8360
Cl1 0.8322 0.1678 0.6712
Cl2 0.8322 0.6644 0.6712
Cl3 0.3356 0.1678 0.6712
Cl4 0.6644 0.8322 0.3288
Cl5 0.1678 0.3356 0.3288
Cl6 0.1678 0.8322 0.3288
Cl7 0.5000 0.0000 0.0000
Cl8 0.0000 0.5000 0.0000
Cl9 0.5000 0.5000 0.0000


[6]
KAg2AuCl8: optimized geometry, PBE-GGA.

Values from the calculation:
- Formation energy from raw total energies: -0.5614 eV/atom
- Total DFT energy (no corrections): -0.0967 Ha/atom
- Volume: 377 Å³/f.u.

Lattice parameters (Å, degrees): 7.3999 6.5442 7.7976 90.02 89.89 87.79
Last column: magnetic moment on the atom in μB.
Positions (direct):
K1 0.0000 0.0000 0.5000  0.00
Ag1 0.4998 0.5001 0.7532  0.23
Ag2 0.5002 0.4999 0.2468  0.23
Au1 0.0000 0.0000 0.0000  0.01
Cl1 0.1121 0.7624 0.1994  0.00
Cl2 0.6028 0.7100 0.9998  0.22
Cl3 0.8860 0.2365 0.2000  0.00
Cl4 0.8879 0.2376 0.8006  0.00
Cl5 0.3972 0.2900 0.0002  0.22
Cl6 0.1140 0.7635 0.8000  0.00
Cl7 0.6076 0.7050 0.4999  0.17
Cl8 0.3924 0.2950 0.5001  0.17


[7]
KAg2AuCl6: optimized geometry, PBE-GGA.

Values from the calculation:
- Formation energy from raw total energies: -0.6801 eV/atom
- Total DFT energy (no corrections): -0.1027 Ha/atom
- Volume: 310 Å³/f.u.

Lattice parameters (Å, degrees): 7.8874 7.4543 9.5247 51.97 48.48 52.43
Positions (direct):
K1 0.7614 0.8648 0.6250
Ag1 0.5271 0.5024 0.3295
Ag2 0.9924 0.0720 0.9287
Au1 0.3018 0.3325 0.0370
Cl1 0.6715 0.1559 0.2494
Cl2 0.2744 0.9474 0.2807
Cl3 0.9152 0.5160 0.2528
Cl4 0.3296 0.7214 0.7992
Cl5 0.6945 0.1551 0.8197
Cl6 0.1936 0.3941 0.6932


[8]
K2AgAuCl6: optimized geometry, PBE-GGA.

Values from the calculation:
- Formation energy from raw total energies: -1.0272 eV/atom
- Total DFT energy (no corrections): -0.1091 Ha/atom
- Volume: 293 Å³/f.u.

Lattice parameters (Å, degrees): 8.1613 7.1130 10.2874 90.00 78.74 90.00
Positions (direct):
K1 0.9936 0.9601 0.2638
K2 0.4936 0.5399 0.7638
K3 0.0064 0.0399 0.7362
K4 0.5064 0.4601 0.2362
Ag1 0.5000 0.0000 0.0000
Ag2 0.0000 0.5000 0.5000
Au1 0.5000 0.0000 0.5000
Au2 0.0000 0.5000 0.0000
Cl1 0.3275 0.7309 0.0588
Cl2 0.8275 0.7691 0.5588
Cl3 0.6725 0.2691 0.9412
Cl4 0.1725 0.2309 0.4412
Cl5 0.3406 0.7285 0.4842
Cl6 0.8406 0.7715 0.9842
Cl7 0.6594 0.2715 0.5158
Cl8 0.1594 0.2285 0.0158
Cl9 0.9109 0.5058 0.2315
Cl10 0.4109 0.9942 0.7315
Cl11 0.0891 0.4942 0.7685
Cl12 0.5891 0.0058 0.2685


[9]
MnAg2AuCl6: optimized geometry, PBE-GGA.

Values from the calculation:
- Formation energy from raw total energies: -0.5856 eV/atom
- Total DFT energy (no corrections): -0.1289 Ha/atom
- Volume: 256 Å³/f.u.

Lattice parameters (Å, degrees): 6.8090 6.8891 6.9241 77.84 64.78 60.79
Last column: magnetic moment on the atom in μB.
Positions (direct):
Mn1 0.2807 0.3225 0.1093  3.66
Ag1 0.6390 0.6528 0.0474  0.00
Ag2 0.2509 0.9783 0.6672  -0.01
Au1 0.7732 0.8180 0.5950  0.00
Cl1 0.4590 0.3340 0.3093  0.01
Cl2 0.2433 0.0102 0.2917  -0.01
Cl3 0.8292 0.5837 0.3623  0.04
Cl4 0.3455 0.6128 0.9062  -0.01
Cl5 0.7444 0.0341 0.8286  0.02
Cl6 0.0964 0.3152 0.8982  -0.01


[10]
MnAg2AuCl8: optimized geometry, PBE-GGA.

Values from the calculation:
- Formation energy from raw total energies: -0.5477 eV/atom
- Total DFT energy (no corrections): -0.1210 Ha/atom
- Volume: 298 Å³/f.u.

Lattice parameters (Å, degrees): 6.1159 5.9870 8.3099 82.59 96.35 96.53
Last column: magnetic moment on the atom in μB.
Positions (direct):
Mn1 0.0000 0.0000 0.0000  3.65
Ag1 0.4689 0.4791 0.7543  -0.01
Ag2 0.5311 0.5209 0.2457  -0.01
Au1 0.0000 0.0000 0.5000  0.01
Cl1 0.1574 0.7545 0.1946  0.01
Cl2 0.6824 0.7543 0.9848  -0.01
Cl3 0.8369 0.1915 0.2604  0.03
Cl4 0.8426 0.2455 0.8054  0.01
Cl5 0.3176 0.2457 0.0152  -0.01
Cl6 0.1631 0.8085 0.7396  0.03
Cl7 0.6835 0.7341 0.5090  0.00
Cl8 0.3165 0.2659 0.4910  0.00


[11]
AgAuNCl2: optimized geometry, PBE-GGA.

Values from the calculation:
- Formation energy from raw total energies: 1.2016 eV/atom
- Total DFT energy (no corrections): -0.0892 Ha/atom
- Distance to the lowest polymorph of the same formula: 175 meV per atom
- Volume: 133 Å³/f.u.

Lattice parameters (Å, degrees): 4.9429 5.4307 4.9429 90.00 90.00 90.00
Last column: magnetic moment on the atom in μB.
Positions (direct):
N1 0.5000 0.5000 0.5000  1.88
Au1 0.0000 0.5000 0.0000  -0.01
Ag1 0.0000 0.0000 0.0000  0.01
Cl1 0.0000 0.0000 0.5000  0.03
Cl2 0.5000 0.0000 0.0000  0.03


[12]
AgAuNCl2: optimized geometry, PBE-GGA.

Values from the calculation:
- Formation energy from raw total energies: 1.0268 eV/atom
- Total DFT energy (no corrections): -0.0956 Ha/atom
- Distance to the lowest polymorph of the same formula: 0 meV per atom
- Volume: 91 Å³/f.u.

Lattice parameters (Å, degrees): 4.5363 4.4099 4.5363 90.00 90.00 90.00
Positions (direct):
N1 0.0000 0.0000 0.0000
Au1 0.5000 0.5000 0.5000
Ag1 0.0000 0.5000 0.0000
Cl1 0.0000 0.0000 0.5000
Cl2 0.5000 0.0000 0.0000